Entry from the Alexandria database: PmV3Cu4O12 after structural relaxation (PBE+U).

Calculated values
For the density of states at the Fermi level, the calculation gives 0.48 states/eV per atom. As for the total energy: -6.429 eV/atom.

Unit cell a=7.4560 b=7.4560 c=7.4560 alpha=90.00 beta=90.00 gamma=90.00
Space group Im-3 (No. 204)
Inequivalent atoms, fractional coordinates:
Pm 0.0000 0.0000 0.0000 (multiplicity 2)
V 0.0000 0.0000 0.5000 (multiplicity 6)
Cu 0.2500 0.2500 0.2500 (multiplicity 8)
O 0.0000 0.1802 0.3063 (multiplicity 24)